# 1
HoLuInSn: relaxed, PBE-GGA.

Calculated values
Energy of formation from the pure elements (eV/atom): -0.454
Electronic total energy (eV per atom): -4.4139

The structure in CIF format:
```
data_HoLuInSn
_cell_length_a 5.2812
_cell_length_b 5.2812
_cell_length_c 5.2812
_cell_angle_alpha 60.00
_cell_angle_beta 60.00
_cell_angle_gamma 60.00
_space_group_name_H-M_alt 'P 1'
_space_group_IT_number 1
_space_group_name_Hall 'P 1'
loop_
_atom_site_label
_atom_site_type_symbol
_atom_site_fract_x
_atom_site_fract_y
_atom_site_fract_z
Lu1 Lu 0.5000 0.5000 0.5000
In1 In 0.7500 0.7500 0.7500
Ho1 Ho 0.0000 0.0000 0.0000
Sn1 Sn 0.2500 0.2500 0.2500
```

# 2
TbHoLuIn: relaxed, PBE-GGA.

Calculated values
Energy of formation from the pure elements (eV/atom): -0.142
Electronic total energy (eV per atom): -4.2591

The structure in CIF format:
```
data_TbHoLuIn
_cell_length_a 5.4134
_cell_length_b 5.4134
_cell_length_c 5.4134
_cell_angle_alpha 60.00
_cell_angle_beta 60.00
_cell_angle_gamma 60.00
_space_group_name_H-M_alt 'P 1'
_space_group_IT_number 1
_space_group_name_Hall 'P 1'
loop_
_atom_site_label
_atom_site_type_symbol
_atom_site_fract_x
_atom_site_fract_y
_atom_site_fract_z
Lu1 Lu 0.7500 0.7500 0.7500
Tb1 Tb 0.5000 0.5000 0.5000
Ho1 Ho 0.0000 0.0000 0.0000
In1 In 0.2500 0.2500 0.2500
```

# 3
HoLuThIn: relaxed, PBE-GGA.

Calculated values
Energy of formation from the pure elements (eV/atom): -0.078
Electronic total energy (eV per atom): -4.8923

The structure in CIF format:
```
data_HoLuThIn
_cell_length_a 5.4478
_cell_length_b 5.4478
_cell_length_c 5.4478
_cell_angle_alpha 60.00
_cell_angle_beta 60.00
_cell_angle_gamma 60.00
_space_group_name_H-M_alt 'P 1'
_space_group_IT_number 1
_space_group_name_Hall 'P 1'
loop_
_atom_site_label
_atom_site_type_symbol
_atom_site_fract_x
_atom_site_fract_y
_atom_site_fract_z
Lu1 Lu 0.7500 0.7500 0.7500
Ho1 Ho 0.0000 0.0000 0.0000
Th1 Th 0.5000 0.5000 0.5000
In1 In 0.2500 0.2500 0.2500
```

# 4
HoLuTlIn: relaxed, PBE-GGA.

Calculated values
Energy of formation from the pure elements (eV/atom): -0.356
Electronic total energy (eV per atom): -3.9064

The structure in CIF format:
```
data_HoLuTlIn
_cell_length_a 5.2900
_cell_length_b 5.2900
_cell_length_c 5.2900
_cell_angle_alpha 60.00
_cell_angle_beta 60.00
_cell_angle_gamma 60.00
_space_group_name_H-M_alt 'P 1'
_space_group_IT_number 1
_space_group_name_Hall 'P 1'
loop_
_atom_site_label
_atom_site_type_symbol
_atom_site_fract_x
_atom_site_fract_y
_atom_site_fract_z
Tl1 Tl 0.5000 0.5000 0.5000
Lu1 Lu 0.7500 0.7500 0.7500
Ho1 Ho 0.2500 0.2500 0.2500
In1 In 0.0000 0.0000 0.0000
```